PBE K3V2Br9, optimized geometry; energy relative to the elements, uncorrected = -1.23 eV per atom; electronic total energy = -3.85 eV per atom; SG = R-3c, No. 167
1.0
9.723 0.342 1.243
1.137 9.662 1.243
0.372 0.342 9.795
K V Br
6 4 18
Direct
0.409 0.750 0.091
0.250 0.909 0.591
0.909 0.591 0.250
0.091 0.409 0.750
0.750 0.091 0.409
0.591 0.250 0.909
0.169 0.169 0.169
0.669 0.669 0.669
0.831 0.831 0.831
0.331 0.331 0.331
0.734 0.901 0.066
0.099 0.934 0.266
0.250 0.411 0.089
0.599 0.766 0.434
0.589 0.911 0.750
0.911 0.750 0.589
0.234 0.566 0.401
0.566 0.401 0.234
0.934 0.266 0.099
0.066 0.734 0.901
0.434 0.599 0.766
0.411 0.089 0.250
0.766 0.434 0.599
0.089 0.250 0.411
0.401 0.234 0.566
0.750 0.589 0.911
0.901 0.066 0.734
0.266 0.099 0.934